# 1
{"formula": "Ti8Al2Mo", "functional": "GGA-PBE", "state": "optimized geometry", "lattice": [[6.571, -2.302, 0.000], [6.571, 2.302, 0.000], [-3.858, 0.000, 6.048]], "species": ["Ti", "Ti", "Ti", "Ti", "Ti", "Ti", "Ti", "Ti", "Al", "Al", "Mo"], "frac_coords": [[0.056, 0.056, 0.229], [0.128, 0.128, 0.672], [0.325, 0.325, 0.590], [0.414, 0.414, 0.054], [0.586, 0.586, 0.946], [0.675, 0.675, 0.410], [0.872, 0.872, 0.328], [0.944, 0.944, 0.771], [0.231, 0.231, 0.137], [0.769, 0.769, 0.863], [0.500, 0.500, 0.500]], "crystal_system": "monoclinic", "rho_g_cm3": 4.834, "vol_a3_per_fu": 183.0, "formation_enthalpy_0k_ev_per_atom": -0.172, "e_tot_ev_per_atom": -7.58, "total_magnetization_mub_per_fu": 0.00, "e_above_lowest_polymorph_mev_per_atom": 0}

# 2
{"formula": "Ti2Al7Mo2", "functional": "GGA-PBE", "state": "optimized geometry", "lattice": [[4.291, -4.544, 0.000], [4.291, 4.544, 0.000], [-2.118, 0.000, 4.661]], "species": ["Ti", "Ti", "Al", "Al", "Al", "Al", "Al", "Al", "Al", "Mo", "Mo"], "frac_coords": [[0.174, 0.826, 0.000], [0.826, 0.174, 0.000], [0.000, 0.000, 0.500], [0.072, 0.580, 0.319], [0.396, 0.396, 0.649], [0.420, 0.928, 0.681], [0.580, 0.072, 0.319], [0.604, 0.604, 0.351], [0.928, 0.420, 0.681], [0.256, 0.256, 0.027], [0.744, 0.744, 0.973]], "crystal_system": "monoclinic", "rho_g_cm3": 4.352, "vol_a3_per_fu": 181.8, "formation_enthalpy_0k_ev_per_atom": -0.132, "e_tot_ev_per_atom": -5.92, "total_magnetization_mub_per_fu": 0.00}

What did the second record say?
{"formula": "Ti2Al7Mo2", "functional": "GGA-PBE", "state": "optimized geometry", "lattice": [[4.291, -4.544, 0.000], [4.291, 4.544, 0.000], [-2.118, 0.000, 4.661]], "species": ["Ti", "Ti", "Al", "Al", "Al", "Al", "Al", "Al", "Al", "Mo", "Mo"], "frac_coords": [[0.174, 0.826, 0.000], [0.826, 0.174, 0.000], [0.000, 0.000, 0.500], [0.072, 0.580, 0.319], [0.396, 0.396, 0.649], [0.420, 0.928, 0.681], [0.580, 0.072, 0.319], [0.604, 0.604, 0.351], [0.928, 0.420, 0.681], [0.256, 0.256, 0.027], [0.744, 0.744, 0.973]], "crystal_system": "monoclinic", "rho_g_cm3": 4.352, "vol_a3_per_fu": 181.8, "formation_enthalpy_0k_ev_per_atom": -0.132, "e_tot_ev_per_atom": -5.92, "total_magnetization_mub_per_fu": 0.00}

What did the first record say?
{"formula": "Ti8Al2Mo", "functional": "GGA-PBE", "state": "optimized geometry", "lattice": [[6.571, -2.302, 0.000], [6.571, 2.302, 0.000], [-3.858, 0.000, 6.048]], "species": ["Ti", "Ti", "Ti", "Ti", "Ti", "Ti", "Ti", "Ti", "Al", "Al", "Mo"], "frac_coords": [[0.056, 0.056, 0.229], [0.128, 0.128, 0.672], [0.325, 0.325, 0.590], [0.414, 0.414, 0.054], [0.586, 0.586, 0.946], [0.675, 0.675, 0.410], [0.872, 0.872, 0.328], [0.944, 0.944, 0.771], [0.231, 0.231, 0.137], [0.769, 0.769, 0.863], [0.500, 0.500, 0.500]], "crystal_system": "monoclinic", "rho_g_cm3": 4.834, "vol_a3_per_fu": 183.0, "formation_enthalpy_0k_ev_per_atom": -0.172, "e_tot_ev_per_atom": -7.58, "total_magnetization_mub_per_fu": 0.00, "e_above_lowest_polymorph_mev_per_atom": 0}